Below is Ti3MnCu2P6O24 after structural relaxation, with properties calculated at the PBE+U level.

Calculated values
The final energy comes out at -7.5021 eV per atom. Its crystal system is trigonal. For the density of states at the Fermi level, the calculation gives 0.382 states/eV/atom. As for the magnetization: 2.999 μB/f.u.

abc: 8.5928 8.5928 8.5928
angles: 60.38 60.38 60.38
Last column: nearest neighbours and their distance in Å.
Positions (direct):
O (0.9106, 0.2670, 0.0476)  1 P 1.54
O (0.8844, 0.6763, 0.5124)  1 P 1.54
O (0.4431, 0.2372, 0.5858)  1 P 1.55
O (0.9469, 0.0834, 0.7383)  1 P 1.56
O (0.9990, 0.8098, 0.6219)  1 P 1.55
O (0.7383, 0.9469, 0.0834)  1 P 1.56
O (0.1879, 0.3903, 0.9866)  1 P 1.51
O (0.6763, 0.5124, 0.8844)  1 P 1.54
O (0.0834, 0.7383, 0.9469)  1 P 1.56
O (0.2372, 0.5858, 0.4431)  1 P 1.55
O (0.0476, 0.9106, 0.2670)  1 P 1.54
O (0.8098, 0.6219, 0.9990)  1 P 1.55
O (0.5707, 0.7631, 0.4112)  1 P 1.56
O (0.4960, 0.1221, 0.3099)  1 P 1.56
O (0.5858, 0.4431, 0.2372)  1 P 1.55
O (0.4112, 0.5707, 0.7631)  1 P 1.56
O (0.7631, 0.4112, 0.5707)  1 P 1.56
O (0.3903, 0.9866, 0.1879)  1 P 1.51
O (0.3099, 0.4960, 0.1221)  1 P 1.56
O (0.1221, 0.3099, 0.4960)  1 P 1.56
O (0.2670, 0.0476, 0.9106)  1 P 1.54
O (0.6219, 0.9990, 0.8098)  1 P 1.55
O (0.9866, 0.1879, 0.3903)  1 P 1.51
O (0.5124, 0.8844, 0.6763)  1 P 1.54
Ti (0.3565, 0.3565, 0.3565)  6 O 1.89-2.05
Ti (0.6433, 0.6433, 0.6433)  6 O 1.90-2.00
Ti (0.8571, 0.8571, 0.8571)  6 O 1.90-2.04
Cu (0.9996, 0.9996, 0.9996)  6 O 2.20-2.22
Cu (0.5011, 0.5011, 0.5011)  6 O 2.25-2.28
Mn (0.1427, 0.1427, 0.1427)  6 O 1.99-2.10
P (0.4583, 0.0429, 0.7484)  4 O 1.54-1.55
P (0.7484, 0.4583, 0.0429)  4 O 1.54-1.55
P (0.9572, 0.2478, 0.5436)  4 O 1.51-1.56
P (0.0429, 0.7484, 0.4583)  4 O 1.54-1.55
P (0.2478, 0.5436, 0.9572)  4 O 1.51-1.56
P (0.5436, 0.9572, 0.2478)  4 O 1.51-1.56